No. 1
A plane-wave DFT calculation with PBE was carried out for crystalline NdTmZn3 at its relaxed geometry. Values from VASP.

```
&SYSTEM
  ibrav = 0, nat = 10, ntyp = 3
/
ATOMIC_SPECIES
Tm 168.93 Tm.upf
Zn 65.41 Zn.upf
Nd 144.24 Nd.upf
ATOMIC_POSITIONS crystal
Tm 0.818 0.245 0.636
Tm 0.182 0.755 0.364
Zn 0.984 0.191 0.968
Zn 0.421 0.258 0.842
Zn 0.016 0.809 0.032
Zn 0.200 0.236 0.401
Zn 0.579 0.742 0.158
Zn 0.800 0.764 0.599
Nd 0.612 0.271 0.224
Nd 0.388 0.729 0.776
CELL_PARAMETERS angstrom
4.675 0.000 -1.285
-0.665 5.865 -2.418
-0.064 -1.999 8.910
```

Output
Calculated formation energy in eV per atom: -0.227
Theoretical density in Mg/m³: 7.7
Total energy in eV per atom: -2.8396


No. 2
A plane-wave DFT calculation with PBE was carried out for crystalline NdTm2Zn4 at its relaxed geometry. Values from VASP.

```
&SYSTEM
  ibrav = 0, nat = 7, ntyp = 3
/
ATOMIC_SPECIES
Zn 65.41 Zn.upf
Nd 144.24 Nd.upf
Tm 168.93 Tm.upf
ATOMIC_POSITIONS crystal
Zn 0.882 0.382 0.765
Zn 0.382 0.882 0.765
Zn 0.118 0.618 0.235
Zn 0.618 0.118 0.235
Nd 0.000 0.000 0.000
Tm 0.728 0.728 0.457
Tm 0.272 0.272 0.543
CELL_PARAMETERS angstrom
4.895 0.000 -1.560
-0.497 4.870 -1.560
-0.373 -0.413 7.288
```

Output
Calculated formation energy in eV per atom: -0.129
Theoretical density in Mg/m³: 7.4
Total energy in eV per atom: -2.8160